# Ba2SnH (PBE, optimized geometry)
# total DFT energy (no corrections)	-3.17	eV per atom
# D(E_F)	1.204	states/eV per atom
# magnetization	0.00	μB per formula unit
# space group	No. 122
# crystal system	tetragonal
# energy relative to the lowest polymorph listed for this composition	132.0	meV per atom
data_Ba2SnH
_chemical_formula_sum 'Ba4 Sn2 H2'
_space_group_name_H-M_alt 'P 1'
_space_group_IT_number 1
_cell_length_a 8.031
_cell_length_b 8.031
_cell_length_c 7.114
_cell_angle_alpha 55.64
_cell_angle_beta 55.64
_cell_angle_gamma 90.00
loop_
_space_group_symop_operation_xyz
'x,y,z'
loop_
_atom_site_label
_atom_site_type_symbol
_atom_site_fract_x
_atom_site_fract_y
_atom_site_fract_z
H1 H 0.500 0.500 0.000
H2 H 0.250 0.750 0.500
Ba1 Ba 0.541 0.125 0.250
Ba2 Ba 0.209 0.625 0.250
Ba3 Ba 0.375 0.459 0.750
Ba4 Ba 0.875 0.791 0.750
Sn1 Sn 0.000 0.000 0.000
Sn2 Sn 0.750 0.250 0.500



# CeEr2Hf (PBE, optimized geometry)
# total DFT energy (no corrections)	-5.98	eV per atom
# D(E_F)	2.680	states/eV per atom
# magnetization	0.79	μB per formula unit
# space group	No. 123
# crystal system	tetragonal
# calculated formation energy	0.27	eV/atom
# energy relative to the lowest polymorph listed for this composition	140.6	meV per atom
data_CeEr2Hf
_chemical_formula_sum 'Ce1 Er2 Hf1'
_space_group_name_H-M_alt 'P 1'
_space_group_IT_number 1
_cell_length_a 3.974
_cell_length_b 3.974
_cell_length_c 7.147
_cell_angle_alpha 90.00
_cell_angle_beta 90.00
_cell_angle_gamma 90.00
loop_
_space_group_symop_operation_xyz
'x,y,z'
loop_
_atom_site_label
_atom_site_type_symbol
_atom_site_fract_x
_atom_site_fract_y
_atom_site_fract_z
Hf1 Hf 0.500 0.500 0.000
Ce1 Ce 0.500 0.500 0.500
Er1 Er 0.000 0.000 0.773
Er2 Er 0.000 0.000 0.227



# Ba3Ta2S8 (PBE, optimized geometry)
# total DFT energy (no corrections)	-6.34	eV per atom
# D(E_F)	0.000	states/eV per atom
# magnetization	0.00	μB per formula unit
# space group	No. 166
# crystal system	trigonal
# energy relative to the lowest polymorph listed for this composition	11.0	meV per atom
data_Ba3Ta2S8
_chemical_formula_sum 'Ba3 Ta2 S8'
_space_group_name_H-M_alt 'P 1'
_space_group_IT_number 1
_cell_length_a 6.989
_cell_length_b 6.989
_cell_length_c 9.759
_cell_angle_alpha 69.02
_cell_angle_beta 69.02
_cell_angle_gamma 60.00
loop_
_space_group_symop_operation_xyz
'x,y,z'
loop_
_atom_site_label
_atom_site_type_symbol
_atom_site_fract_x
_atom_site_fract_y
_atom_site_fract_z
Ba1 Ba 0.000 0.000 0.000
Ba2 Ba 0.793 0.793 0.621
Ba3 Ba 0.207 0.207 0.379
Ta1 Ta 0.593 0.593 0.221
Ta2 Ta 0.407 0.407 0.779
S1 S 0.678 0.678 0.966
S2 S 0.322 0.322 0.034
S3 S 0.211 0.739 0.312
S4 S 0.739 0.211 0.312
S5 S 0.739 0.739 0.312
S6 S 0.261 0.789 0.688
S7 S 0.789 0.261 0.688
S8 S 0.261 0.261 0.688



# SrFeSeBr2 (PBE, optimized geometry)
# total DFT energy (no corrections)	-3.46	eV per atom
# D(E_F)	1.511	states/eV per atom
# magnetization	4.09	μB per formula unit
# space group	No. 123
# crystal system	tetragonal
# energy relative to the lowest polymorph listed for this composition	826.5	meV per atom
data_SrFeSeBr2
_chemical_formula_sum 'Sr1 Fe1 Se1 Br2'
_space_group_name_H-M_alt 'P 1'
_space_group_IT_number 1
_cell_length_a 5.731
_cell_length_b 5.731
_cell_length_c 6.066
_cell_angle_alpha 90.00
_cell_angle_beta 90.00
_cell_angle_gamma 90.00
loop_
_space_group_symop_operation_xyz
'x,y,z'
loop_
_atom_site_label
_atom_site_type_symbol
_atom_site_fract_x
_atom_site_fract_y
_atom_site_fract_z
Sr1 Sr 0.000 0.000 0.000
Se1 Se 0.000 0.000 0.500
Br1 Br 0.000 0.500 0.000
Br2 Br 0.500 0.000 0.000
Fe1 Fe 0.500 0.500 0.500



# Pr9Nd4Cd11 (PBE, optimized geometry)
# total DFT energy (no corrections)	-3.26	eV per atom
# D(E_F)	1.089	states/eV per atom
# magnetization	0.00	μB per formula unit
# space group	No. 65
# crystal system	orthorhombic
# calculated formation energy	-0.25	eV/atom
data_Pr9Nd4Cd11
_chemical_formula_sum 'Pr9 Nd4 Cd11'
_space_group_name_H-M_alt 'P 1'
_space_group_IT_number 1
_cell_length_a 3.696
_cell_length_b 14.295
_cell_length_c 14.295
_cell_angle_alpha 110.70
_cell_angle_beta 90.00
_cell_angle_gamma 90.00
loop_
_space_group_symop_operation_xyz
'x,y,z'
loop_
_atom_site_label
_atom_site_type_symbol
_atom_site_fract_x
_atom_site_fract_y
_atom_site_fract_z
Pr1 Pr 0.500 0.619 0.151
Pr2 Pr 0.500 0.381 0.849
Pr3 Pr 0.500 0.151 0.619
Pr4 Pr 0.500 0.849 0.381
Pr5 Pr 0.500 0.793 0.974
Pr6 Pr 0.500 0.207 0.026
Pr7 Pr 0.500 0.974 0.793
Pr8 Pr 0.500 0.026 0.207
Pr9 Pr 0.500 0.500 0.500
Nd1 Nd 0.500 0.572 0.747
Nd2 Nd 0.500 0.428 0.253
Nd3 Nd 0.500 0.747 0.572
Nd4 Nd 0.500 0.253 0.428
Cd1 Cd 0.000 0.588 0.949
Cd2 Cd 0.000 0.412 0.051
Cd3 Cd 0.000 0.949 0.588
Cd4 Cd 0.000 0.051 0.412
Cd5 Cd 0.000 0.633 0.367
Cd6 Cd 0.000 0.367 0.633
Cd7 Cd 0.000 0.823 0.177
Cd8 Cd 0.000 0.177 0.823
Cd9 Cd 0.000 0.000 0.000
Cd10 Cd 0.000 0.772 0.772
Cd11 Cd 0.000 0.228 0.228



# Pm8Hg2Ru3 (PBE, optimized geometry)
# total DFT energy (no corrections)	-5.32	eV per atom
# D(E_F)	0.990	states/eV per atom
# magnetization	0.00	μB per formula unit
# space group	No. 10
# crystal system	monoclinic
# calculated formation energy	-0.21	eV/atom
data_Pm8Hg2Ru3
_chemical_formula_sum 'Pm8 Hg2 Ru3'
_space_group_name_H-M_alt 'P 1'
_space_group_IT_number 1
_cell_length_a 5.022
_cell_length_b 10.024
_cell_length_c 8.952
_cell_angle_alpha 124.04
_cell_angle_beta 90.00
_cell_angle_gamma 90.00
loop_
_space_group_symop_operation_xyz
'x,y,z'
loop_
_atom_site_label
_atom_site_type_symbol
_atom_site_fract_x
_atom_site_fract_y
_atom_site_fract_z
Pm1 Pm 0.000 0.611 0.223
Pm2 Pm 0.000 0.389 0.777
Pm3 Pm 0.000 0.114 0.228
Pm4 Pm 0.000 0.886 0.772
Pm5 Pm 0.500 0.642 0.777
Pm6 Pm 0.500 0.133 0.775
Pm7 Pm 0.500 0.867 0.225
Pm8 Pm 0.500 0.358 0.223
Hg1 Hg 0.500 0.256 0.512
Hg2 Hg 0.500 0.744 0.488
Ru1 Ru 0.500 0.000 0.000
Ru2 Ru 0.000 0.249 0.000
Ru3 Ru 0.000 0.751 0.000



# Y2CoMo (PBE, optimized geometry)
# total DFT energy (no corrections)	-7.39	eV per atom
# D(E_F)	1.100	states/eV per atom
# magnetization	2.19	μB per formula unit
# space group	No. 123
# crystal system	tetragonal
# calculated formation energy	0.32	eV/atom
# energy relative to the lowest polymorph listed for this composition	245.0	meV per atom
data_Y2CoMo
_chemical_formula_sum 'Y2 Co1 Mo1'
_space_group_name_H-M_alt 'P 1'
_space_group_IT_number 1
_cell_length_a 4.902
_cell_length_b 4.900
_cell_length_c 3.440
_cell_angle_alpha 90.00
_cell_angle_beta 90.00
_cell_angle_gamma 90.00
loop_
_space_group_symop_operation_xyz
'x,y,z'
loop_
_atom_site_label
_atom_site_type_symbol
_atom_site_fract_x
_atom_site_fract_y
_atom_site_fract_z
Co1 Co 0.500 0.000 0.500
Mo1 Mo 0.000 0.500 0.500
Y1 Y 0.000 0.000 0.000
Y2 Y 0.500 0.500 0.000



# LaAs2Pb2 (PBE, optimized geometry)
# total DFT energy (no corrections)	-4.73	eV per atom
# D(E_F)	0.489	states/eV per atom
# magnetization	0.00	μB per formula unit
# space group	No. 127
# crystal system	tetragonal
# calculated formation energy	-0.40	eV/atom
data_LaAs2Pb2
_chemical_formula_sum 'La2 As4 Pb4'
_space_group_name_H-M_alt 'P 1'
_space_group_IT_number 1
_cell_length_a 7.803
_cell_length_b 7.803
_cell_length_c 4.546
_cell_angle_alpha 90.00
_cell_angle_beta 90.00
_cell_angle_gamma 90.00
loop_
_space_group_symop_operation_xyz
'x,y,z'
loop_
_atom_site_label
_atom_site_type_symbol
_atom_site_fract_x
_atom_site_fract_y
_atom_site_fract_z
Pb1 Pb 0.195 0.695 0.500
Pb2 Pb 0.695 0.805 0.500
Pb3 Pb 0.805 0.305 0.500
Pb4 Pb 0.305 0.195 0.500
As1 As 0.379 0.879 0.000
As2 As 0.879 0.621 0.000
As3 As 0.621 0.121 0.000
As4 As 0.121 0.379 0.000
La1 La 0.000 0.000 0.000
La2 La 0.500 0.500 0.000



# Ce2TmHg8 (PBE, optimized geometry)
# total DFT energy (no corrections)	-1.98	eV per atom
# D(E_F)	1.573	states/eV per atom
# magnetization	2.25	μB per formula unit
# space group	No. 12
# crystal system	monoclinic
# calculated formation energy	-0.28	eV/atom
data_Ce2TmHg8
_chemical_formula_sum 'Ce2 Tm1 Hg8'
_space_group_name_H-M_alt 'P 1'
_space_group_IT_number 1
_cell_length_a 5.122
_cell_length_b 7.305
_cell_length_c 8.365
_cell_angle_alpha 109.61
_cell_angle_beta 107.83
_cell_angle_gamma 90.00
loop_
_space_group_symop_operation_xyz
'x,y,z'
loop_
_atom_site_label
_atom_site_type_symbol
_atom_site_fract_x
_atom_site_fract_y
_atom_site_fract_z
Ce1 Ce 0.791 0.343 0.583
Ce2 Ce 0.209 0.657 0.417
Tm1 Tm 0.500 0.000 0.000
Hg1 Hg 0.405 0.558 0.810
Hg2 Hg 0.662 0.887 0.325
Hg3 Hg 0.847 0.842 0.693
Hg4 Hg 0.985 0.271 0.970
Hg5 Hg 0.153 0.158 0.307
Hg6 Hg 0.338 0.113 0.675
Hg7 Hg 0.595 0.442 0.190
Hg8 Hg 0.015 0.729 0.030



# PrGe3Os (PBE, optimized geometry)
# total DFT energy (no corrections)	-6.33	eV per atom
# D(E_F)	0.538	states/eV per atom
# magnetization	0.00	μB per formula unit
# space group	No. 31
# crystal system	orthorhombic
# calculated formation energy	-0.36	eV/atom
data_PrGe3Os
_chemical_formula_sum 'Pr2 Ge6 Os2'
_space_group_name_H-M_alt 'P 1'
_space_group_IT_number 1
_cell_length_a 5.820
_cell_length_b 5.807
_cell_length_c 6.266
_cell_angle_alpha 90.00
_cell_angle_beta 90.00
_cell_angle_gamma 90.00
loop_
_space_group_symop_operation_xyz
'x,y,z'
loop_
_atom_site_label
_atom_site_type_symbol
_atom_site_fract_x
_atom_site_fract_y
_atom_site_fract_z
Pr1 Pr 0.427 0.318 0.701
Pr2 Pr 0.927 0.035 0.201
Ge1 Ge 0.391 0.251 0.201
Ge2 Ge 0.453 0.842 0.969
Ge3 Ge 0.953 0.511 0.469
Ge4 Ge 0.891 0.101 0.701
Ge5 Ge 0.953 0.510 0.932
Ge6 Ge 0.453 0.842 0.432
Os1 Os 0.154 0.790 0.701
Os2 Os 0.654 0.563 0.201